i | A geometry-optimized SmTaPb structure. Source: OQMD via LeMat-Bulk, functional PBE.

Results
* ρ: 9.50 Mg/m³

Structure (CIF):
```
data_SmTaPb
_cell_length_a 7.222
_cell_length_b 7.222
_cell_length_c 7.222
_cell_angle_alpha 90.00
_cell_angle_beta 90.00
_cell_angle_gamma 90.00
_space_group_name_H-M_alt 'F -4 3 m'
_space_group_IT_number 216
_space_group_name_Hall 'F -4 2 3'
loop_
_atom_site_label
_atom_site_type_symbol
_atom_site_fract_x
_atom_site_fract_y
_atom_site_fract_z
Sm1 Sm 0.000 0.000 0.000
Ta1 Ta 0.250 0.250 0.250
Pb1 Pb 0.250 0.250 0.750
```

---

ii | A geometry-optimized SmTaPb structure. Source: OQMD via LeMat-Bulk, functional PBE.

Results
* ρ: 10.55 Mg/m³

Structure (CIF):
```
data_SmTaPb
_cell_length_a 6.973
_cell_length_b 6.973
_cell_length_c 6.973
_cell_angle_alpha 90.00
_cell_angle_beta 90.00
_cell_angle_gamma 90.00
_space_group_name_H-M_alt 'F -4 3 m'
_space_group_IT_number 216
_space_group_name_Hall 'F -4 2 3'
loop_
_atom_site_label
_atom_site_type_symbol
_atom_site_fract_x
_atom_site_fract_y
_atom_site_fract_z
Sm1 Sm 0.000 0.000 0.000
Ta1 Ta 0.000 0.000 0.500
Pb1 Pb 0.250 0.250 0.250
```

---

Which structure loses on stability? i does.

---

i | A geometry-optimized TaSnPb structure. Source: OQMD via LeMat-Bulk, functional PBE.

Results
* ρ: 10.12 Mg/m³

Structure (CIF):
```
data_TaSnPb
_cell_length_a 6.929
_cell_length_b 6.929
_cell_length_c 6.929
_cell_angle_alpha 90.00
_cell_angle_beta 90.00
_cell_angle_gamma 90.00
_space_group_name_H-M_alt 'F -4 3 m'
_space_group_IT_number 216
_space_group_name_Hall 'F -4 2 3'
loop_
_atom_site_label
_atom_site_type_symbol
_atom_site_fract_x
_atom_site_fract_y
_atom_site_fract_z
Ta1 Ta 0.000 0.000 0.000
Sn1 Sn 0.250 0.250 0.750
Pb1 Pb 0.000 0.000 0.500
```

---

ii | A geometry-optimized TaSnPb structure. Source: OQMD via LeMat-Bulk, functional PBE.

Results
* ρ: 9.82 Mg/m³

Structure (CIF):
```
data_TaSnPb
_cell_length_a 6.998
_cell_length_b 6.998
_cell_length_c 6.998
_cell_angle_alpha 90.00
_cell_angle_beta 90.00
_cell_angle_gamma 90.00
_space_group_name_H-M_alt 'F -4 3 m'
_space_group_IT_number 216
_space_group_name_Hall 'F -4 2 3'
loop_
_atom_site_label
_atom_site_type_symbol
_atom_site_fract_x
_atom_site_fract_y
_atom_site_fract_z
Ta1 Ta 0.000 0.000 0.000
Sn1 Sn 0.250 0.250 0.250
Pb1 Pb 0.250 0.250 0.750
```

---

Which structure loses on stability? i does.

---

i | A geometry-optimized Tb3Sn4Pb3 structure. Source: OQMD via LeMat-Bulk, functional PBE.

Results
* ρ: 9.67 Mg/m³

Structure (CIF):
```
data_Tb3Sn4Pb3
_cell_length_a 4.485
_cell_length_b 26.758
_cell_length_c 4.500
_cell_angle_alpha 90.00
_cell_angle_beta 90.00
_cell_angle_gamma 90.00
_space_group_name_H-M_alt 'C m m m'
_space_group_IT_number 65
_space_group_name_Hall '-C 2 2'
loop_
_atom_site_label
_atom_site_type_symbol
_atom_site_fract_x
_atom_site_fract_y
_atom_site_fract_z
Tb1 Tb 0.000 0.000 0.000
Tb2 Tb 0.000 0.312 0.500
Sn1 Sn 0.000 0.096 0.500
Sn2 Sn 0.000 0.403 0.000
Pb1 Pb 0.000 0.209 0.000
Pb2 Pb 0.000 0.500 0.500
```

---

ii | A geometry-optimized Tb3Sn4Pb3 structure. Source: OQMD via LeMat-Bulk, functional PBE.

Results
* ρ: 9.65 Mg/m³

Structure (CIF):
```
data_Tb3Sn4Pb3
_cell_length_a 4.441
_cell_length_b 26.650
_cell_length_c 4.576
_cell_angle_alpha 90.00
_cell_angle_beta 90.00
_cell_angle_gamma 90.00
_space_group_name_H-M_alt 'C m m m'
_space_group_IT_number 65
_space_group_name_Hall '-C 2 2'
loop_
_atom_site_label
_atom_site_type_symbol
_atom_site_fract_x
_atom_site_fract_y
_atom_site_fract_z
Tb1 Tb 0.000 0.000 0.000
Tb2 Tb 0.000 0.309 0.500
Sn1 Sn 0.000 0.097 0.500
Sn2 Sn 0.000 0.212 0.000
Pb1 Pb 0.000 0.401 0.000
Pb2 Pb 0.000 0.500 0.500
```

---

Which structure loses on stability? i does.